[1]
## Cd2SbPd9 (PBE-GGA)

Data for a geometry-optimized Cd2SbPd9 structure.

total energy = -56.3 eV/cell
raw formation energy = -303 meV/atom
calculated volume = 197 Å³/cell

Lattice parameters (Å, degrees): 4.038 4.038 12.094 90.00 90.00 90.00
Space group P4/mmm (No. 123)
Asymmetric unit:
Cd 0.000 0.000 0.166
Sb 0.000 0.000 0.500
Pd 0.000 0.500 0.000
Pd 0.000 0.500 0.336
Pd 0.500 0.500 0.169
Pd 0.500 0.500 0.500

---

[2]
## Ac2PmSb2Se2 (PBE-GGA)

Data for a geometry-optimized Ac2PmSb2Se2 structure.

total energy = -71.1 eV/cell
raw formation energy = -1051 meV/atom
calculated volume = 539 Å³/cell

Lattice parameters (Å, degrees): 5.883 5.883 15.567 90.00 90.00 90.00
Space group I4/mmm (No. 139)
Asymmetric unit:
Ac 0.000 0.000 0.128
Pm 0.000 0.000 0.500
Sb 0.000 0.500 0.000
Se 0.000 0.000 0.314

---

[3]
## YNbAl2 (PBE-GGA)

Data for a geometry-optimized YNbAl2 structure.

total energy = -89.8 eV/cell
energy relative to the lowest polymorph listed for this composition = 658.9 meV/atom
calculated volume = 379 Å³/cell

Lattice parameters (Å, degrees): 4.435 4.435 19.251 90.00 90.00 90.00
Space group I-42d (No. 122)
Asymmetric unit:
Y 0.000 0.000 0.000
Nb 0.000 0.000 0.500
Al 0.156 0.250 0.625

---

Copy entry 2 word for word.
## Ac2PmSb2Se2 (PBE-GGA)

Data for a geometry-optimized Ac2PmSb2Se2 structure.

total energy = -71.1 eV/cell
raw formation energy = -1051 meV/atom
calculated volume = 539 Å³/cell

Lattice parameters (Å, degrees): 5.883 5.883 15.567 90.00 90.00 90.00
Space group I4/mmm (No. 139)
Asymmetric unit:
Ac 0.000 0.000 0.128
Pm 0.000 0.000 0.500
Sb 0.000 0.500 0.000
Se 0.000 0.000 0.314